First-principles (PBE) data for an optimized crystal structure of SrTa2Hg, as listed in the Alexandria database.

Lattice parameters (Å, degrees): 4.832 4.832 20.752 90.00 90.00 90.00
Space group I-42d (No. 122)
Symmetry-distinct sites (fractional):
1 Sr 0.000 0.000 0.000
2 Ta 0.050 0.250 0.625
3 Hg 0.000 0.000 0.500

Results
DOS(E_F): 16.65 states/eV per cell
energy of formation from the pure elements: 1024 meV per atom

First-principles (PBE) data for an optimized crystal structure of PmDy3Ho3, as listed in the Alexandria database.

Lattice parameters (Å, degrees): 8.6046 8.6046 21.7043 90.00 90.00 120.00
Space group R-3 (No. 148, hexagonal axes)
Symmetry-distinct sites (fractional):
1 Pm 0.0000 0.0000 0.1506
2 Dy 0.0046 0.2328 0.5594
3 Ho 0.0571 0.4499 0.3796

Results
energy relative to the lowest polymorph listed for this composition: 1.52 eV/f.u.
DOS(E_F): 69.81 states/eV per cell
energy of formation from the pure elements: 228 meV per atom

First-principles (PBE) data for an optimized crystal structure of Ac2PaRuO8, as listed in the Alexandria database.

Lattice parameters (Å, degrees): 4.391 7.400 5.611 90.00 96.84 90.00
Space group P2/m (No. 10)
Symmetry-distinct sites (fractional):
1 Ac 0.000 0.241 0.000
2 Pa 0.500 0.500 0.500
3 Ru 0.500 0.000 0.500
4 O 0.079 0.500 0.267
5 O 0.128 0.000 0.312
6 O 0.434 0.241 0.718

Results
DOS(E_F): 6.23 states/eV per cell
formation energy without anion corrections: -2.586 eV/atom